(1)
This record from the Alexandria database describes an optimized crystal structure of Er4IrRu3. The functional is GGA-PBE.

The value obtained for the formation energy is -0.52 eV/atom.

The structure belongs to space group Pmmm (No. 47); the cell edges are 3.3725, 4.7785 and 9.5402 Å and the angles 90.00°, 90.00° and 90.00°. Symmetry generates all atoms from Er at (0.0000, 0.0000, 0.0000), Er at (0.0000, 0.0000, 0.5000), Er at (0.0000, 0.5000, 0.2470), Ir at (0.5000, 0.5000, 0.5000), Ru at (0.5000, 0.0000, 0.2506) and Ru at (0.5000, 0.5000, 0.0000).

(2)
This record from the Alexandria database describes an optimized crystal structure of Er7Ir2Ru2. The functional is GGA-PBE.

The value obtained for the formation energy is -0.35 eV/atom.

The structure belongs to space group Cmmm (No. 65); the cell edges are 7.8951, 10.1916 and 6.7847 Å and the angles 90.00°, 90.00° and 90.00°. Symmetry generates all atoms from Er at (0.0000, 0.0000, 0.0000), Er at (0.0000, 0.5000, 0.2615), Er at (0.2500, 0.2500, 0.2721), Ir at (0.0000, 0.2820, 0.0000) and Ru at (0.1810, 0.0000, 0.5000).

(3)
This record from the Alexandria database describes an optimized crystal structure of ErSi3IrRu. The functional is GGA-PBE.

As for the uncorrected energy: -168.18 eV per cell.

The structure belongs to space group Cmcm (No. 63); the cell edges are 6.2058, 13.6203 and 5.4867 Å and the angles 90.00°, 90.00° and 90.00°. Symmetry generates all atoms from Er at (0.0000, 0.1797, 0.2500), Si at (0.0000, 0.2279, 0.7500), Si at (0.2127, 0.5000, 0.0000), Ir at (0.0000, 0.3926, 0.7500) and Ru at (0.0000, 0.0639, 0.7500).

(4)
This record from the Alexandria database describes an optimized crystal structure of SmErIrRu. The functional is GGA-PBE.

The value obtained for the formation energy is -0.53 eV/atom.

The structure belongs to space group F-43m (No. 216); the cell edges are 6.8699, 6.8699 and 6.8699 Å and the angles 90.00°, 90.00° and 90.00°. Symmetry generates all atoms from Sm at (0.0000, 0.0000, 0.0000), Er at (0.0000, 0.0000, 0.5000), Ir at (0.2500, 0.2500, 0.7500) and Ru at (0.2500, 0.2500, 0.2500).

(5)
This record from the Alexandria database describes an optimized crystal structure of ErSnIrRu. The functional is GGA-PBE.

The value obtained for the formation energy is -0.54 eV/atom.

The structure belongs to space group F-43m (No. 216); the cell edges are 6.5927, 6.5927 and 6.5927 Å and the angles 90.00°, 90.00° and 90.00°. Symmetry generates all atoms from Er at (0.0000, 0.0000, 0.0000), Sn at (0.0000, 0.0000, 0.5000), Ir at (0.2500, 0.2500, 0.7500) and Ru at (0.2500, 0.2500, 0.2500).

(6)
This record from the Alexandria database describes an optimized crystal structure of Er5Sn2Ir2Ru. The functional is GGA-PBE.

The value obtained for the formation energy is -0.61 eV/atom.

The structure belongs to space group P4/mbm (No. 127); the cell edges are 11.5397, 11.5397 and 3.5099 Å and the angles 90.00°, 90.00° and 90.00°. Symmetry generates all atoms from Er at (0.0000, 0.5000, 0.0000), Er at (0.0639, 0.1946, 0.0000), Sn at (0.1787, 0.6787, 0.5000), Ir at (0.1372, 0.3628, 0.5000) and Ru at (0.0000, 0.0000, 0.5000).